HfTlTe2N | GGA-PBEsol | optimized geometry

The structure belongs to space group P4/mmm (No. 123); the cell edges are 5.763, 5.763 and 3.968 Å and the angles 90.00°, 90.00° and 90.00°. The distinct sites, in fractional coordinates, are Hf at (0.000, 0.000, 0.000), Tl at (0.500, 0.500, 0.500), Te at (0.000, 0.500, 0.000) and N at (0.000, 0.000, 0.500).

HfTeWN2 | GGA-PBEsol | optimized geometry

The structure belongs to space group P4/mmm (No. 123); the cell edges are 4.072, 4.072 and 5.757 Å and the angles 90.00°, 90.00° and 90.00°. The distinct sites, in fractional coordinates, are Hf at (0.000, 0.000, 0.000), Te at (0.000, 0.000, 0.500), W at (0.500, 0.500, 0.500) and N at (0.000, 0.500, 0.000).

What are the calculated density values for these records? In order: 8.217; 9.008 g/cm³.
What are the E_form (uncorrected) values for these records? In order: -186; 1098 meV per atom.